HgCl3 | PBE-GGA | optimized geometry

a b c (Å): 5.3706 5.3706 5.0688
angles (deg): 90.00 90.00 125.97
Atoms (fractional coordinates):
Cl 0.0000 0.5000 0.5000
Cl 0.5000 0.5000 0.0000
Cl 0.5000 0.0000 0.5000
Hg 0.0000 0.0000 0.0000

Computed properties:
ρ   4.31 g/cm³
Crystal system   orthorhombic
Calculated volume   118.3 Å³/f.u.
Formation energy from raw total energies   -0.109 eV per atom